(1)
# MnPd3Au2 (GGA-PBE, relaxed)
# **Density of states at the Fermi level**: 4.65 states/eV/cell
# **Symmetry**: Cmmm (65)
# **Energy relative to the elements**: -174 meV/atom
# **Total energy**: -5.391 eV/atom
# **Polymorph energy (0 for the lowest one)**: 0 meV per atom
data_MnPd3Au2
_chemical_formula_sum 'Mn2 Pd6 Au4'
_space_group_name_H-M_alt 'P 1'
_space_group_IT_number 1
_cell_length_a 4.112
_cell_length_b 6.478
_cell_length_c 7.659
_cell_angle_alpha 90.00
_cell_angle_beta 90.00
_cell_angle_gamma 71.50
loop_
_space_group_symop_operation_xyz
'x,y,z'
loop_
_atom_site_label
_atom_site_type_symbol
_atom_site_fract_x
_atom_site_fract_y
_atom_site_fract_z
_atom_site_occupancy
Au1 Au 0.000 0.000 0.500 1
Au2 Au 0.668 0.664 0.500 1
Au3 Au 0.000 0.000 0.000 1
Au4 Au 0.332 0.336 0.500 1
Pd1 Pd 0.171 0.658 0.232 1
Pd2 Pd 0.829 0.342 0.232 1
Pd3 Pd 0.829 0.342 0.768 1
Pd4 Pd 0.500 0.000 0.754 1
Pd5 Pd 0.171 0.658 0.768 1
Pd6 Pd 0.500 0.000 0.246 1
Mn1 Mn 0.340 0.321 0.000 1
Mn2 Mn 0.660 0.679 0.000 1



(2)
# Zn2NiMo (GGA-PBE, relaxed)
# **Density of states at the Fermi level**: 3.18 states/eV/cell
# **Symmetry**: Pmmm (47)
# **Energy relative to the elements**: 147 meV/atom
# **Total energy**: -4.643 eV/atom
# **Polymorph energy (0 for the lowest one)**: 203 meV per atom
data_Zn2NiMo
_chemical_formula_sum 'Zn2 Ni1 Mo1'
_space_group_name_H-M_alt 'P 1'
_space_group_IT_number 1
_cell_length_a 2.780
_cell_length_b 4.476
_cell_length_c 4.467
_cell_angle_alpha 90.00
_cell_angle_beta 90.00
_cell_angle_gamma 90.00
loop_
_space_group_symop_operation_xyz
'x,y,z'
loop_
_atom_site_label
_atom_site_type_symbol
_atom_site_fract_x
_atom_site_fract_y
_atom_site_fract_z
_atom_site_occupancy
Ni1 Ni 0.000 0.500 0.500 1
Mo1 Mo 0.500 0.000 0.500 1
Zn1 Zn 0.000 0.000 0.000 1
Zn2 Zn 0.500 0.500 0.000 1



(3)
# KBaCo2 (GGA-PBE, relaxed)
# **Density of states at the Fermi level**: 4.96 states/eV/cell
# **Symmetry**: Amm2 (38)
# **Energy relative to the elements**: 585 meV/atom
# **Total energy**: -3.723 eV/atom
# **Polymorph energy (0 for the lowest one)**: 175 meV per atom
data_KBaCo2
_chemical_formula_sum 'K1 Ba1 Co2'
_space_group_name_H-M_alt 'P 1'
_space_group_IT_number 1
_cell_length_a 3.965
_cell_length_b 4.902
_cell_length_c 6.667
_cell_angle_alpha 68.46
_cell_angle_beta 90.00
_cell_angle_gamma 90.00
loop_
_space_group_symop_operation_xyz
'x,y,z'
loop_
_atom_site_label
_atom_site_type_symbol
_atom_site_fract_x
_atom_site_fract_y
_atom_site_fract_z
_atom_site_occupancy
K1 K 0.000 0.478 0.419 1
Ba1 Ba 0.500 0.756 0.863 1
Co1 Co 0.000 0.173 0.028 1
Co2 Co 0.500 0.093 0.189 1



(4)
# PmPr2Dy3As6 (GGA-PBE, relaxed)
# **Density of states at the Fermi level**: 1.84 states/eV/cell
# **Symmetry**: C2/m (12)
# **Energy relative to the elements**: -1515 meV/atom
# **Total energy**: -6.183 eV/atom
data_PmPr2Dy3As6
_chemical_formula_sum 'Pm1 Pr2 Dy3 As6'
_space_group_name_H-M_alt 'P 1'
_space_group_IT_number 1
_cell_length_a 4.205
_cell_length_b 8.402
_cell_length_c 9.394
_cell_angle_alpha 102.87
_cell_angle_beta 102.93
_cell_angle_gamma 90.00
loop_
_space_group_symop_operation_xyz
'x,y,z'
loop_
_atom_site_label
_atom_site_type_symbol
_atom_site_fract_x
_atom_site_fract_y
_atom_site_fract_z
_atom_site_occupancy
As1 As 0.668 0.076 0.336 1
As2 As 0.997 0.253 0.995 1
As3 As 0.003 0.747 0.005 1
As4 As 0.336 0.410 0.672 1
As5 As 0.332 0.924 0.664 1
As6 As 0.664 0.590 0.328 1
Dy1 Dy 0.833 0.167 0.666 1
Dy2 Dy 0.500 0.500 0.000 1
Dy3 Dy 0.167 0.833 0.334 1
Pr1 Pr 0.166 0.333 0.333 1
Pr2 Pr 0.834 0.667 0.667 1
Pm1 Pm 0.500 0.000 0.000 1



(5)
# PmSiIr (GGA-PBE, relaxed)
# **Density of states at the Fermi level**: 2.99 states/eV/cell
# **Symmetry**: P-6m2 (187)
# **Total energy**: -7.223 eV/atom
# **Polymorph energy (0 for the lowest one)**: 77 meV per atom
# **E_form (uncorrected)**: -878 meV per atom
data_PmSiIr
_chemical_formula_sum 'Pm1 Si1 Ir1'
_space_group_name_H-M_alt 'P 1'
_space_group_IT_number 1
_cell_length_a 4.293
_cell_length_b 4.120
_cell_length_c 4.120
_cell_angle_alpha 120.00
_cell_angle_beta 90.00
_cell_angle_gamma 90.00
loop_
_space_group_symop_operation_xyz
'x,y,z'
loop_
_atom_site_label
_atom_site_type_symbol
_atom_site_fract_x
_atom_site_fract_y
_atom_site_fract_z
_atom_site_occupancy
Si1 Si 0.166 0.333 0.667 1
Ir1 Ir 0.167 0.000 0.000 1
Pm1 Pm 0.666 0.667 0.333 1



(6)
# LiPmMnRh (GGA-PBE, relaxed)
# **Density of states at the Fermi level**: 2.66 states/eV/cell
# **Symmetry**: F-43m (216)
# **Energy relative to the elements**: -145 meV/atom
# **Total energy**: -5.942 eV/atom
data_LiPmMnRh
_chemical_formula_sum 'Li1 Pm1 Mn1 Rh1'
_space_group_name_H-M_alt 'P 1'
_space_group_IT_number 1
_cell_length_a 4.720
_cell_length_b 4.720
_cell_length_c 4.720
_cell_angle_alpha 60.00
_cell_angle_beta 60.00
_cell_angle_gamma 60.00
loop_
_space_group_symop_operation_xyz
'x,y,z'
loop_
_atom_site_label
_atom_site_type_symbol
_atom_site_fract_x
_atom_site_fract_y
_atom_site_fract_z
_atom_site_occupancy
Li1 Li 0.000 0.000 0.000 1
Rh1 Rh 0.500 0.500 0.500 1
Pm1 Pm 0.750 0.750 0.750 1
Mn1 Mn 0.250 0.250 0.250 1



> Which of these has the lowest total energy?

PmSiIr



Repeat the first record exactly.
# MnPd3Au2 (GGA-PBE, relaxed)
# **Density of states at the Fermi level**: 4.65 states/eV/cell
# **Symmetry**: Cmmm (65)
# **Energy relative to the elements**: -174 meV/atom
# **Total energy**: -5.391 eV/atom
# **Polymorph energy (0 for the lowest one)**: 0 meV per atom
data_MnPd3Au2
_chemical_formula_sum 'Mn2 Pd6 Au4'
_space_group_name_H-M_alt 'P 1'
_space_group_IT_number 1
_cell_length_a 4.112
_cell_length_b 6.478
_cell_length_c 7.659
_cell_angle_alpha 90.00
_cell_angle_beta 90.00
_cell_angle_gamma 71.50
loop_
_space_group_symop_operation_xyz
'x,y,z'
loop_
_atom_site_label
_atom_site_type_symbol
_atom_site_fract_x
_atom_site_fract_y
_atom_site_fract_z
_atom_site_occupancy
Au1 Au 0.000 0.000 0.500 1
Au2 Au 0.668 0.664 0.500 1
Au3 Au 0.000 0.000 0.000 1
Au4 Au 0.332 0.336 0.500 1
Pd1 Pd 0.171 0.658 0.232 1
Pd2 Pd 0.829 0.342 0.232 1
Pd3 Pd 0.829 0.342 0.768 1
Pd4 Pd 0.500 0.000 0.754 1
Pd5 Pd 0.171 0.658 0.768 1
Pd6 Pd 0.500 0.000 0.246 1
Mn1 Mn 0.340 0.321 0.000 1
Mn2 Mn 0.660 0.679 0.000 1



> Look up the total energy of the sixth one.

-5.942 eV/atom